Record 1
CaMgTe2 after structural relaxation, computed with PBE-GGA.

## Properties
M_tot, μB per formula unit: 0.00
E, eV per atom: -3.651
Calculated volume, Å³ per atom: 33.14

Geometry as CIF:
```
data_CaMgTe2
_cell_length_a 4.577
_cell_length_b 6.516
_cell_length_c 17.778
_cell_angle_alpha 90.00
_cell_angle_beta 90.00
_cell_angle_gamma 90.00
_symmetry_space_group_name_H-M 'P 1'
_symmetry_Int_Tables_number 1
_symmetry_space_group_name_Hall 'P 1'
loop_
_atom_site_label
_atom_site_type_symbol
_atom_site_fract_x
_atom_site_fract_y
_atom_site_fract_z
Te1 Te 0.250 0.746 0.068
Te2 Te 0.750 0.242 0.179
Te3 Te 0.250 0.758 0.821
Te4 Te 0.250 0.246 0.432
Te5 Te 0.750 0.754 0.568
Te6 Te 0.750 0.742 0.321
Te7 Te 0.250 0.258 0.679
Te8 Te 0.750 0.254 0.932
Ca1 Ca 0.750 0.750 0.935
Ca2 Ca 0.250 0.250 0.065
Ca3 Ca 0.250 0.750 0.435
Ca4 Ca 0.750 0.250 0.565
Mg1 Mg 0.750 0.308 0.333
Mg2 Mg 0.250 0.692 0.667
Mg3 Mg 0.750 0.808 0.167
Mg4 Mg 0.250 0.192 0.833
```

***

Record 2
Ca4MgTe after structural relaxation, computed with PBE-GGA.

## Properties
M_tot, μB per formula unit: 0.00
E, eV per atom: -2.071
Calculated volume, Å³ per atom: 36.85

Geometry as CIF:
```
data_Ca4MgTe
_cell_length_a 6.787
_cell_length_b 6.787
_cell_length_c 6.787
_cell_angle_alpha 60.00
_cell_angle_beta 60.00
_cell_angle_gamma 60.00
_symmetry_space_group_name_H-M 'P 1'
_symmetry_Int_Tables_number 1
_symmetry_space_group_name_Hall 'P 1'
loop_
_atom_site_label
_atom_site_type_symbol
_atom_site_fract_x
_atom_site_fract_y
_atom_site_fract_z
Mg1 Mg 0.750 0.750 0.750
Ca1 Ca 0.375 0.375 0.375
Ca2 Ca 0.375 0.875 0.375
Ca3 Ca 0.375 0.375 0.875
Ca4 Ca 0.875 0.375 0.375
Te1 Te 0.000 0.000 0.000
```

***

Among the records above, which one has the highest E? Ca4MgTe

***

Which of these has the lowest calculated volume? CaMgTe2